The following is a PBE with a Hubbard U calculation of a geometry-optimized MnTl2SbO4 structure, from Alexandria via LeMat-Bulk.

extended XYZ file:
```
16
Lattice="-3.5211 3.5890 5.0270 3.5211 -3.5890 5.0270 3.5211 3.5890 -5.0270" Properties=species:S:1:pos:R:3 pbc="T T T"
Mn 0.0000 0.0000 0.0000
Mn 0.0000 3.5890 0.0000
Tl 3.5211 0.0000 0.0000
Tl -1.7606 1.7945 2.5135
Tl 0.0000 0.0000 5.0270
Tl 1.7606 1.7945 2.5135
Sb 1.7606 1.7945 -2.5135
Sb 1.7606 -1.7945 2.5135
O 3.5211 3.1644 -2.6755
O 3.5211 -0.4246 2.6755
O 1.4410 1.7945 -0.3853
O 2.0801 -1.7945 4.6417
O 1.4410 5.3836 0.3853
O 2.0801 1.7945 5.4124
O 0.0000 4.0136 2.3516
O 0.0000 0.4246 7.7025
```

Calculated values
D(E_F) in states/eV/atom: 0.13
Space-group type: Imma, No. 74
Uncorrected energy in eV/atom: -5.449
Total moment in μB per atom: 0.6182